# VMo2PbF, relaxed, DFT PBE with a Hubbard U
# DFT total energy: -4.24 eV per atom
data_VMo2PbF
_chemical_formula_sum 'V1 Mo2 Pb1 F1'
_cell_length_a 4.9841
_cell_length_b 4.9841
_cell_length_c 5.3401
_cell_angle_alpha 90.00
_cell_angle_beta 90.00
_cell_angle_gamma 90.00
_symmetry_space_group_name_H-M 'P 4/m m m'
_symmetry_Int_Tables_number 123
_symmetry_space_group_name_Hall '-P 4 2'
loop_
_atom_site_label
_atom_site_type_symbol
_atom_site_fract_x
_atom_site_fract_y
_atom_site_fract_z
_atom_site_occupancy
V1 V 0.0000 0.0000 0.0000 1
Mo1 Mo 0.0000 0.5000 0.0000 1
Pb1 Pb 0.0000 0.0000 0.5000 1
F1 F 0.5000 0.5000 0.5000 1



# ZnMoPbF6, relaxed, DFT PBE with a Hubbard U
# DFT total energy: -4.74 eV per atom
data_ZnMoPbF6
_chemical_formula_sum 'Zn2 Mo2 Pb2 F12'
_cell_length_a 5.8247
_cell_length_b 5.8247
_cell_length_c 10.5550
_cell_angle_alpha 90.00
_cell_angle_beta 90.00
_cell_angle_gamma 120.00
_symmetry_space_group_name_H-M 'P -3 1 c'
_symmetry_Int_Tables_number 163
_symmetry_space_group_name_Hall '-P 3 2c'
loop_
_atom_site_label
_atom_site_type_symbol
_atom_site_fract_x
_atom_site_fract_y
_atom_site_fract_z
_atom_site_occupancy
Zn1 Zn 0.3333 0.6667 0.2500 1
Mo1 Mo 0.3333 0.6667 0.7500 1
Pb1 Pb 0.0000 0.0000 0.0000 1
F1 F 0.0238 0.3668 0.6401 1



# Mo3PdF, relaxed, DFT PBE with a Hubbard U
# Excess energy over the best structure of this formula in the dataset: 0.0000 eV per atom
data_Mo3PdF
_chemical_formula_sum 'Mo3 Pd1 F1'
_cell_length_a 4.2294
_cell_length_b 4.2294
_cell_length_c 4.2294
_cell_angle_alpha 90.00
_cell_angle_beta 90.00
_cell_angle_gamma 90.00
_symmetry_space_group_name_H-M 'P m -3 m'
_symmetry_Int_Tables_number 221
_symmetry_space_group_name_Hall '-P 4 2 3'
loop_
_atom_site_label
_atom_site_type_symbol
_atom_site_fract_x
_atom_site_fract_y
_atom_site_fract_z
_atom_site_occupancy
Mo1 Mo 0.0000 0.0000 0.5000 1
Pd1 Pd 0.5000 0.5000 0.5000 1
F1 F 0.0000 0.0000 0.0000 1



# Mo3PdF, relaxed, DFT PBE with a Hubbard U
# Excess energy over the best structure of this formula in the dataset: 0.2498 eV per atom
data_Mo3PdF
_chemical_formula_sum 'Mo3 Pd1 F1'
_cell_length_a 5.2836
_cell_length_b 5.2836
_cell_length_c 5.2836
_cell_angle_alpha 90.00
_cell_angle_beta 90.00
_cell_angle_gamma 90.00
_symmetry_space_group_name_H-M 'P m -3 m'
_symmetry_Int_Tables_number 221
_symmetry_space_group_name_Hall '-P 4 2 3'
loop_
_atom_site_label
_atom_site_type_symbol
_atom_site_fract_x
_atom_site_fract_y
_atom_site_fract_z
_atom_site_occupancy
Mo1 Mo 0.0000 0.0000 0.5000 1
Pd1 Pd 0.0000 0.0000 0.0000 1
F1 F 0.5000 0.5000 0.5000 1



# RbMoPdF6, relaxed, DFT PBE with a Hubbard U
# DFT total energy: -4.81 eV per atom
data_RbMoPdF6
_chemical_formula_sum 'Rb1 Mo1 Pd1 F6'
_cell_length_a 5.2848
_cell_length_b 5.5640
_cell_length_c 6.0419
_cell_angle_alpha 87.91
_cell_angle_beta 87.15
_cell_angle_gamma 70.04
_symmetry_space_group_name_H-M 'P 1'
_symmetry_Int_Tables_number 1
loop_
_symmetry_equiv_pos_as_xyz
'x,y,z'
loop_
_atom_site_label
_atom_site_type_symbol
_atom_site_fract_x
_atom_site_fract_y
_atom_site_fract_z
_atom_site_occupancy
Rb1 Rb 0.0000 0.0000 0.0000 1
Mo1 Mo 0.4150 0.3669 0.4552 1
Pd1 Pd 0.6470 0.6734 0.5223 1
F1 F 0.0765 0.6150 0.3371 1
F2 F 0.1806 0.2234 0.6331 1
F3 F 0.3472 0.5857 0.7350 1
F4 F 0.4057 0.1054 0.2415 1
F5 F 0.6269 0.4422 0.1931 1
F6 F 0.7139 0.0732 0.5824 1



# Si2MoPdF, relaxed, DFT PBE with a Hubbard U
# DFT total energy: -4.65 eV per atom
data_Si2MoPdF
_chemical_formula_sum 'Si2 Mo1 Pd1 F1'
_cell_length_a 4.4582
_cell_length_b 4.4582
_cell_length_c 5.7347
_cell_angle_alpha 90.00
_cell_angle_beta 90.00
_cell_angle_gamma 90.00
_symmetry_space_group_name_H-M 'P 4/m m m'
_symmetry_Int_Tables_number 123
_symmetry_space_group_name_Hall '-P 4 2'
loop_
_atom_site_label
_atom_site_type_symbol
_atom_site_fract_x
_atom_site_fract_y
_atom_site_fract_z
_atom_site_occupancy
Si1 Si 0.0000 0.5000 0.0000 1
Mo1 Mo 0.0000 0.0000 0.5000 1
Pd1 Pd 0.0000 0.0000 0.0000 1
F1 F 0.5000 0.5000 0.5000 1



# MoPdWF, relaxed, DFT PBE with a Hubbard U
# Excess energy over the best structure of this formula in the dataset: 0.3199 eV per atom
data_MoPdWF
_chemical_formula_sum 'Mo2 Pd2 W2 F2'
_cell_length_a 2.9364
_cell_length_b 4.5451
_cell_length_c 9.9608
_cell_angle_alpha 90.00
_cell_angle_beta 90.00
_cell_angle_gamma 90.00
_symmetry_space_group_name_H-M 'I m m 2'
_symmetry_Int_Tables_number 44
loop_
_symmetry_equiv_pos_as_xyz
'x,y,z'
'-x,-y,z'
'-x,y,z'
'x,-y,z'
'x+1/2,y+1/2,z+1/2'
'-x+1/2,-y+1/2,z+1/2'
'-x+1/2,y+1/2,z+1/2'
'x+1/2,-y+1/2,z+1/2'
loop_
_atom_site_label
_atom_site_type_symbol
_atom_site_fract_x
_atom_site_fract_y
_atom_site_fract_z
_atom_site_occupancy
Mo1 Mo 0.0000 0.0000 0.0000 1
Pd1 Pd 0.0000 0.5000 0.2479 1
W1 W 0.0000 0.5000 0.7428 1
F1 F 0.0000 0.5000 0.9633 1



# MoPdWF, relaxed, DFT PBE with a Hubbard U
# Excess energy over the best structure of this formula in the dataset: 0.2550 eV per atom
data_MoPdWF
_chemical_formula_sum 'Mo2 Pd2 W2 F2'
_cell_length_a 10.6408
_cell_length_b 3.1570
_cell_length_c 4.5744
_cell_angle_alpha 90.00
_cell_angle_beta 115.07
_cell_angle_gamma 90.00
_symmetry_space_group_name_H-M 'C 1 m 1'
_symmetry_Int_Tables_number 8
loop_
_symmetry_equiv_pos_as_xyz
'x,y,z'
'x,-y,z'
'x+1/2,y+1/2,z'
'x+1/2,-y+1/2,z'
loop_
_atom_site_label
_atom_site_type_symbol
_atom_site_fract_x
_atom_site_fract_y
_atom_site_fract_z
_atom_site_occupancy
Mo1 Mo 0.0000 0.0000 0.0000 1
Pd1 Pd 0.4927 0.0000 0.4925 1
W1 W 0.2561 0.5000 0.2598 1
F1 F 0.2683 0.5000 0.7713 1



# MoPdWF, relaxed, DFT PBE with a Hubbard U
# Excess energy over the best structure of this formula in the dataset: 0.1911 eV per atom
data_MoPdWF
_chemical_formula_sum 'Mo1 Pd1 W1 F1'
_cell_length_a 4.5527
_cell_length_b 3.0982
_cell_length_c 5.1164
_cell_angle_alpha 90.00
_cell_angle_beta 110.68
_cell_angle_gamma 90.00
_symmetry_space_group_name_H-M 'P 1 m 1'
_symmetry_Int_Tables_number 6
loop_
_symmetry_equiv_pos_as_xyz
'x,y,z'
'x,-y,z'
loop_
_atom_site_label
_atom_site_type_symbol
_atom_site_fract_x
_atom_site_fract_y
_atom_site_fract_z
_atom_site_occupancy
Mo1 Mo 0.0000 0.0000 0.0000 1
Pd1 Pd 0.6316 0.0000 0.3827 1
W1 W 0.1847 0.5000 0.5322 1
F1 F 0.6277 0.5000 0.8876 1



# MoPdWF, relaxed, DFT PBE with a Hubbard U
# Excess energy over the best structure of this formula in the dataset: 0.0334 eV per atom
data_MoPdWF
_chemical_formula_sum 'Mo1 Pd1 W1 F1'
_cell_length_a 2.7567
_cell_length_b 3.0775
_cell_length_c 8.0607
_cell_angle_alpha 90.00
_cell_angle_beta 96.54
_cell_angle_gamma 90.00
_symmetry_space_group_name_H-M 'P 1 m 1'
_symmetry_Int_Tables_number 6
loop_
_symmetry_equiv_pos_as_xyz
'x,y,z'
'x,-y,z'
loop_
_atom_site_label
_atom_site_type_symbol
_atom_site_fract_x
_atom_site_fract_y
_atom_site_fract_z
_atom_site_occupancy
Mo1 Mo 0.0000 0.0000 0.0000 1
Pd1 Pd 0.3394 0.0000 0.4717 1
W1 W 0.7657 0.5000 0.2358 1
F1 F 0.4605 0.0000 0.7933 1



# MoPdWF, relaxed, DFT PBE with a Hubbard U
# Excess energy over the best structure of this formula in the dataset: 0.1683 eV per atom
data_MoPdWF
_chemical_formula_sum 'Mo2 Pd2 W2 F2'
_cell_length_a 8.7565
_cell_length_b 4.9684
_cell_length_c 3.2782
_cell_angle_alpha 90.00
_cell_angle_beta 108.81
_cell_angle_gamma 90.00
_symmetry_space_group_name_H-M 'C 1 m 1'
_symmetry_Int_Tables_number 8
loop_
_symmetry_equiv_pos_as_xyz
'x,y,z'
'x,-y,z'
'x+1/2,y+1/2,z'
'x+1/2,-y+1/2,z'
loop_
_atom_site_label
_atom_site_type_symbol
_atom_site_fract_x
_atom_site_fract_y
_atom_site_fract_z
_atom_site_occupancy
Mo1 Mo 0.0000 0.0000 0.0000 1
Pd1 Pd 0.2964 0.0000 0.7773 1
W1 W 0.0823 0.5000 0.5524 1
F1 F 0.2608 0.5000 0.2000 1



# MoPdWF, relaxed, DFT PBE with a Hubbard U
# Excess energy over the best structure of this formula in the dataset: 0.0000 eV per atom
data_MoPdWF
_chemical_formula_sum 'Mo1 Pd1 W1 F1'
_cell_length_a 2.7931
_cell_length_b 2.8977
_cell_length_c 8.4307
_cell_angle_alpha 88.29
_cell_angle_beta 82.91
_cell_angle_gamma 69.51
_symmetry_space_group_name_H-M 'P 1'
_symmetry_Int_Tables_number 1
loop_
_symmetry_equiv_pos_as_xyz
'x,y,z'
loop_
_atom_site_label
_atom_site_type_symbol
_atom_site_fract_x
_atom_site_fract_y
_atom_site_fract_z
_atom_site_occupancy
Mo1 Mo 0.0000 0.0000 0.0000 1
Pd1 Pd 0.6739 0.9247 0.5074 1
W1 W 0.4073 0.5135 0.2543 1
F1 F 0.5806 0.9860 0.7993 1



# MoPdWF, relaxed, DFT PBE with a Hubbard U
# Excess energy over the best structure of this formula in the dataset: 0.0650 eV per atom
data_MoPdWF
_chemical_formula_sum 'Mo2 Pd2 W2 F2'
_cell_length_a 4.5448
_cell_length_b 3.2458
_cell_length_c 8.6038
_cell_angle_alpha 90.00
_cell_angle_beta 90.81
_cell_angle_gamma 90.00
_symmetry_space_group_name_H-M 'C 1 m 1'
_symmetry_Int_Tables_number 8
loop_
_symmetry_equiv_pos_as_xyz
'x,y,z'
'x,-y,z'
'x+1/2,y+1/2,z'
'x+1/2,-y+1/2,z'
loop_
_atom_site_label
_atom_site_type_symbol
_atom_site_fract_x
_atom_site_fract_y
_atom_site_fract_z
_atom_site_occupancy
Mo1 Mo 0.0000 0.0000 0.0000 1
Pd1 Pd 0.0870 0.0000 0.4933 1
W1 W 0.4868 0.0000 0.7382 1
F1 F 0.0124 0.0000 0.2324 1



# MoPdWF, relaxed, DFT PBE with a Hubbard U
# Excess energy over the best structure of this formula in the dataset: 0.2460 eV per atom
data_MoPdWF
_chemical_formula_sum 'Mo1 Pd1 W1 F1'
_cell_length_a 3.0516
_cell_length_b 4.1087
_cell_length_c 5.9280
_cell_angle_alpha 77.42
_cell_angle_beta 80.80
_cell_angle_gamma 89.69
_symmetry_space_group_name_H-M 'P 1'
_symmetry_Int_Tables_number 1
loop_
_symmetry_equiv_pos_as_xyz
'x,y,z'
loop_
_atom_site_label
_atom_site_type_symbol
_atom_site_fract_x
_atom_site_fract_y
_atom_site_fract_z
_atom_site_occupancy
Mo1 Mo 0.0000 0.0000 0.0000 1
Pd1 Pd 0.5924 0.5457 0.7078 1
W1 W 0.1593 0.1149 0.4894 1
F1 F 0.1707 0.5426 0.2103 1



# ZrMoPd2F, relaxed, DFT PBE with a Hubbard U
# DFT total energy: -5.52 eV per atom
data_ZrMoPd2F
_chemical_formula_sum 'Zr1 Mo1 Pd2 F1'
_cell_length_a 5.0803
_cell_length_b 5.0803
_cell_length_c 3.9524
_cell_angle_alpha 90.00
_cell_angle_beta 90.00
_cell_angle_gamma 90.00
_symmetry_space_group_name_H-M 'P 4/m m m'
_symmetry_Int_Tables_number 123
_symmetry_space_group_name_Hall '-P 4 2'
loop_
_atom_site_label
_atom_site_type_symbol
_atom_site_fract_x
_atom_site_fract_y
_atom_site_fract_z
_atom_site_occupancy
Zr1 Zr 0.0000 0.0000 0.0000 1
Mo1 Mo 0.5000 0.5000 0.5000 1
Pd1 Pd 0.0000 0.5000 0.5000 1
F1 F 0.5000 0.5000 0.0000 1



# PmMoF6, relaxed, DFT PBE with a Hubbard U
# DFT total energy: -6.21 eV per atom
data_PmMoF6
_chemical_formula_sum 'Pm1 Mo1 F6'
_cell_length_a 5.6973
_cell_length_b 5.7051
_cell_length_c 6.1480
_cell_angle_alpha 62.72
_cell_angle_beta 62.64
_cell_angle_gamma 60.43
_symmetry_space_group_name_H-M 'P -1'
_symmetry_Int_Tables_number 2
loop_
_symmetry_equiv_pos_as_xyz
'x,y,z'
'-x,-y,-z'
loop_
_atom_site_label
_atom_site_type_symbol
_atom_site_fract_x
_atom_site_fract_y
_atom_site_fract_z
_atom_site_occupancy
Pm1 Pm 0.0000 0.0000 0.0000 1
Mo1 Mo 0.5000 0.5000 0.5000 1
F1 F 0.1561 0.3650 0.7415 1
F2 F 0.2630 0.8423 0.2595 1
F3 F 0.3644 0.7394 0.7403 1



# PmMo2F11, relaxed, DFT PBE with a Hubbard U
# DFT total energy: -5.76 eV per atom
data_PmMo2F11
_chemical_formula_sum 'Pm4 Mo8 F44'
_cell_length_a 7.7298
_cell_length_b 9.9346
_cell_length_c 10.9755
_cell_angle_alpha 90.00
_cell_angle_beta 90.00
_cell_angle_gamma 90.00
_symmetry_space_group_name_H-M 'I b a m'
_symmetry_Int_Tables_number 72
_symmetry_space_group_name_Hall '-I 2 2c'
loop_
_atom_site_label
_atom_site_type_symbol
_atom_site_fract_x
_atom_site_fract_y
_atom_site_fract_z
_atom_site_occupancy
Pm1 Pm 0.0000 0.0000 0.2500 1
Mo1 Mo 0.1395 0.3196 0.0000 1
F1 F 0.0000 0.5000 0.0000 1
F2 F 0.0951 0.1873 0.1377 1
F3 F 0.1327 0.2836 0.5000 1
F4 F 0.2370 0.0714 0.3701 1



# Mo2PtF, relaxed, DFT PBE with a Hubbard U
# Excess energy over the best structure of this formula in the dataset: 0.2335 eV per atom
data_Mo2PtF
_chemical_formula_sum 'Mo8 Pt4 F4'
_cell_length_a 4.1614
_cell_length_b 4.1614
_cell_length_c 15.5067
_cell_angle_alpha 90.00
_cell_angle_beta 90.00
_cell_angle_gamma 90.00
_symmetry_space_group_name_H-M 'I -4 2 d'
_symmetry_Int_Tables_number 122
_symmetry_space_group_name_Hall 'I -4 2bw'
loop_
_atom_site_label
_atom_site_type_symbol
_atom_site_fract_x
_atom_site_fract_y
_atom_site_fract_z
_atom_site_occupancy
Mo1 Mo 0.1849 0.2500 0.1250 1
Pt1 Pt 0.0000 0.0000 0.5000 1
F1 F 0.0000 0.0000 0.0000 1



# Mo3PtF, relaxed, DFT PBE with a Hubbard U
# Excess energy over the best structure of this formula in the dataset: 0.2715 eV per atom
data_Mo3PtF
_chemical_formula_sum 'Mo3 Pt1 F1'
_cell_length_a 5.2777
_cell_length_b 5.2777
_cell_length_c 5.2777
_cell_angle_alpha 90.00
_cell_angle_beta 90.00
_cell_angle_gamma 90.00
_symmetry_space_group_name_H-M 'P m -3 m'
_symmetry_Int_Tables_number 221
_symmetry_space_group_name_Hall '-P 4 2 3'
loop_
_atom_site_label
_atom_site_type_symbol
_atom_site_fract_x
_atom_site_fract_y
_atom_site_fract_z
_atom_site_occupancy
Mo1 Mo 0.0000 0.0000 0.5000 1
Pt1 Pt 0.0000 0.0000 0.0000 1
F1 F 0.5000 0.5000 0.5000 1



# Mo3PtF, relaxed, DFT PBE with a Hubbard U
# Excess energy over the best structure of this formula in the dataset: 0.0000 eV per atom
data_Mo3PtF
_chemical_formula_sum 'Mo3 Pt1 F1'
_cell_length_a 4.2221
_cell_length_b 4.2221
_cell_length_c 4.2221
_cell_angle_alpha 90.00
_cell_angle_beta 90.00
_cell_angle_gamma 90.00
_symmetry_space_group_name_H-M 'P m -3 m'
_symmetry_Int_Tables_number 221
_symmetry_space_group_name_Hall '-P 4 2 3'
loop_
_atom_site_label
_atom_site_type_symbol
_atom_site_fract_x
_atom_site_fract_y
_atom_site_fract_z
_atom_site_occupancy
Mo1 Mo 0.0000 0.0000 0.5000 1
Pt1 Pt 0.5000 0.5000 0.5000 1
F1 F 0.0000 0.0000 0.0000 1